## MgAlTl2Te4 (GGA-PBE)

Data for a geometry-optimized MgAlTl2Te4 structure.

Cell lengths 6.924, 6.924, 6.924 Å; angles 106.08, 106.08, 116.50 degrees
Atoms (fractional coordinates):
Mg 0.000 0.000 0.000
Al 0.500 0.500 0.000
Tl 0.000 0.500 0.500
Tl 0.500 0.000 0.500
Te 0.094 0.094 0.649
Te 0.445 0.445 0.351
Te 0.555 0.906 0.000
Te 0.906 0.555 0.000

Calculated volume ... 31.570 Å³/atom
Formation energy without anion corrections ... -41 kJ/mol of atoms
Total moment ... 0.0 μB/f.u.